Ac3HoO | Alexandria via LeMat-Bulk | PBE | optimized geometry; space group = Pm-3m; magnetization = 0.0 μB/f.u.; uncorrected energy = -27.160 eV per cell
1.0
-0.902 -2.662 -4.611
5.017 1.139 -1.640
1.781 -4.558 2.283
Ac O Ho
3 1 1
Cartesian
2.509 0.570 -0.820
0.890 -2.279 1.141
-0.451 -1.331 -2.305
0.000 0.000 0.000
2.948 -3.040 -1.984

---

Si2SbF | Alexandria via LeMat-Bulk | PBE | optimized geometry; space group = I-42d; magnetization = 0.0 μB/f.u.; uncorrected energy = -35.168 eV per cell
1.0
-1.871 1.353 3.811
-2.371 -3.768 0.173
3.557 -4.598 5.983
F Sb Si
2 2 4
Cartesian
-2.121 -1.208 1.992
-0.468 -4.787 4.074
0.000 0.000 0.000
-0.218 -2.227 5.893
-0.782 -5.146 7.954
0.815 -4.771 6.000
-0.370 -0.925 3.478
-1.033 -3.186 2.501